# 1
This record from the Alexandria database describes a geometry-optimized PrSm5Y6 structure. The functional is PBE.

a = 11.877 Å, b = 6.259 Å, c = 6.257 Å
α = 59.99°, β = 84.98°, γ = 79.93°
Sites, in units of the cell vectors:
Sm 0.000 0.667 0.667
Sm 0.000 0.333 0.333
Y 0.251 0.917 0.666
Sm 0.500 0.167 0.667
Sm 0.500 0.500 0.000
Y 0.251 0.251 0.000
Y 0.749 0.417 0.666
Sm 0.500 0.833 0.333
Pr 0.000 0.000 0.000
Y 0.251 0.583 0.334
Y 0.749 0.749 0.000
Y 0.749 0.083 0.334

Summary:
- E: -5.5845 eV/atom
- Polymorph energy (0 for the lowest one): 0.0 kJ per mole of atoms
- Energy relative to the elements: 0.1 eV/f.u.


# 2
This record from the Alexandria database describes a geometry-optimized SmYMg2Au4 structure. The functional is PBE.

a = 4.963 Å, b = 4.963 Å, c = 8.515 Å
α = 73.06°, β = 73.06°, γ = 60.00°
Sites, in units of the cell vectors:
Sm 0.000 0.000 0.000
Au 0.128 0.128 0.617
Au 0.872 0.872 0.383
Y 0.500 0.500 0.500
Mg 0.250 0.250 0.251
Au 0.376 0.376 0.872
Mg 0.750 0.750 0.749
Au 0.624 0.624 0.128

Summary:
- E: -4.2007 eV/atom
- Energy relative to the elements: -6.1 eV/f.u.


Look up the E of the second one.
-4.2007 eV/atom


E of number 1 (PrSm5Y6)?
-5.5845 eV/atom


Please write out number 2 again, unchanged.
This record from the Alexandria database describes a geometry-optimized SmYMg2Au4 structure. The functional is PBE.

a = 4.963 Å, b = 4.963 Å, c = 8.515 Å
α = 73.06°, β = 73.06°, γ = 60.00°
Sites, in units of the cell vectors:
Sm 0.000 0.000 0.000
Au 0.128 0.128 0.617
Au 0.872 0.872 0.383
Y 0.500 0.500 0.500
Mg 0.250 0.250 0.251
Au 0.376 0.376 0.872
Mg 0.750 0.750 0.749
Au 0.624 0.624 0.128

Summary:
- E: -4.2007 eV/atom
- Energy relative to the elements: -6.1 eV/f.u.